# 1
Compound: Ho4Er3Pu
Source: Alexandria
Functional: GGA-PBE
Structure: optimized geometry

The raw total energy comes out at -90.236 eV per cell. The value obtained for the density of states at the Fermi level is 35.0 states/eV/cell. The formation energy comes out at 0.15 eV per atom. For the offset from the most stable computed form, the calculation gives 110 meV/atom.

It has space group Immm (No. 71), with a = 3.3953 Å, b = 11.4358 Å, c = 12.6311 Å, α = 90.00°, β = 90.00° and γ = 90.00°. Symmetry generates all atoms from Ho at (0.0000, 0.2481, 0.1318), Er at (0.0000, 0.0000, 0.5000), Er at (0.0000, 0.5000, 0.2626) and Pu at (0.0000, 0.0000, 0.0000).


# 2
Compound: Pu3Th5P8
Source: Alexandria
Functional: GGA-PBE
Structure: optimized geometry

The raw total energy comes out at -438.321 eV per cell. The value obtained for the density of states at the Fermi level is 95.8 states/eV/cell. The formation energy comes out at -1.42 eV per atom.

It has space group R-3m (No. 166, hexagonal axes), with a = 8.2196 Å, b = 8.2196 Å, c = 20.0235 Å, α = 90.00°, β = 90.00° and γ = 120.00°. Symmetry generates all atoms from Pu at (0.0000, 0.5000, 0.0000), Th at (0.0000, 0.0000, 0.0000), Th at (0.0000, 0.0000, 0.5000), Th at (0.0000, 0.5000, 0.5000), P at (0.0000, 0.0000, 0.2530) and P at (0.0034, 0.5017, 0.2517).


# 3
Compound: LiZn6Pd12
Source: Alexandria
Functional: GGA-PBE
Structure: optimized geometry

The raw total energy comes out at -237.792 eV per cell. The value obtained for the density of states at the Fermi level is 30.7 states/eV/cell. The formation energy comes out at -0.39 eV per atom. For the offset from the most stable computed form, the calculation gives 0 meV/atom.

It has space group R-3 (No. 148, hexagonal axes), with a = 11.9508 Å, b = 11.9508 Å, c = 6.8301 Å, α = 90.00°, β = 90.00° and γ = 120.00°. Symmetry generates all atoms from Li at (0.0000, 0.0000, 0.0000), Zn at (0.0295, 0.7563, 0.3297), Pd at (0.0100, 0.8696, 0.6652) and Pd at (0.0660, 0.5040, 0.6708).